Here is Rb2YPF6 after structural relaxation from Alexandria. Energies are from PBE.

Values from the calculation:
E_form (uncorrected)	-2.714	eV per atom
DFT total energy	-52.18	eV/cell
magnetic moment	0.00	μB per atom

Structure (POSCAR):
```
Rb2YPF6
1.0
6.0170 0.0000 0.0000
0.0000 6.0170 0.0000
3.0085 3.0085 5.8896
Y P Rb F
1 1 2 6
Direct
0.0000 0.0000 0.0000
0.5000 0.5000 0.0000
0.7500 0.2500 0.5000
0.2500 0.7500 0.5000
0.1843 0.1843 0.6314
0.8157 0.8157 0.3686
0.2562 0.2562 0.0000
0.7438 0.7438 0.0000
0.7438 0.2562 0.0000
0.2562 0.7438 0.0000
```